No. 1
## CrFeW (PBE-GGA)

Data for CrFeW after structural relaxation.

abc: 3.0799 4.1954 12.2812
angles: 90.00 90.00 90.00
Last column: nearest neighbours and their distance in Å.
Space group Fmm2 (No. 42)
Inequivalent atoms, fractional coordinates:
Cr: 0.0000 0.0000 0.0000 x4  2 Fe 2.44, 4 Cr 2.60, 2 W 2.63
Fe: 0.0000 0.0000 0.3463 x4  2 Cr 2.44, 4 Fe 2.60, 2 W 2.62
W: 0.0000 0.0000 0.6736 x4  4 W 2.60, 2 Fe 2.62, 2 Cr 2.63

## Properties
raw total energy = -122.34 eV/cell
ΔH_f (0 K) = 151 meV per atom

---

No. 2
## Cr2FeW (PBE-GGA)

Data for Cr2FeW after structural relaxation.

abc: 3.6573 3.6573 7.6160
angles: 90.00 90.00 90.00
Last column: nearest neighbours and their distance in Å.
Space group I-4m2 (No. 119)
Inequivalent atoms, fractional coordinates:
Cr: 0.0000 0.0000 0.0000 x2  4 W 2.59, 4 Cr 2.64, 4 Fe 2.64
Cr: 0.0000 0.5000 0.2500 x2  4 Fe 2.59, 4 Cr 2.64, 4 W 2.64
Fe: 0.0000 0.5000 0.7500 x2  8 Cr 2.59-2.64, 4 W 2.64
W: 0.0000 0.0000 0.5000 x2  8 Cr 2.59-2.64, 4 Fe 2.64

## Properties
raw total energy = -78.95 eV/cell
ΔH_f (0 K) = 297 meV per atom

---

No. 3
## CrFe2W (PBE-GGA)

Data for CrFe2W after structural relaxation.

abc: 2.5665 4.0942 4.9528
angles: 90.00 102.47 90.00
Last column: nearest neighbours and their distance in Å.
Space group P2/m (No. 10)
Inequivalent atoms, fractional coordinates:
Cr: 0.0000 0.0000 0.0000 x1  4 Fe 2.51, 2 W 2.53, 2 Cr 2.57
Fe: 0.2417 0.5000 0.7622 x2  4 Fe 2.44-2.63, 2 Cr 2.51, 2 W 2.59
W: 0.5000 0.0000 0.5000 x1  2 Cr 2.53, 2 W 2.57, 4 Fe 2.59

## Properties
raw total energy = -38.93 eV/cell
ΔH_f (0 K) = 144 meV per atom

---

No. 4
## Cr2FeW (PBE-GGA)

Data for Cr2FeW after structural relaxation.

abc: 2.9510 2.9510 5.8259
angles: 90.00 90.00 90.00
Last column: nearest neighbours and their distance in Å.
Space group P4mm (No. 99)
Inequivalent atoms, fractional coordinates:
Cr: 0.0000 0.0000 0.0000 x1  4 Cr 2.46, 4 W 2.62, 1 Fe 2.75
Cr: 0.5000 0.5000 0.2250 x1  4 Cr 2.46, 4 Fe 2.54
Fe: 0.0000 0.0000 0.4724 x1  5 Cr 2.54-2.75, 4 W 2.57
W: 0.5000 0.5000 0.7289 x1  4 Fe 2.57, 4 Cr 2.62

## Properties
raw total energy = -40.17 eV/cell
ΔH_f (0 K) = 122 meV per atom

---

no.,energy relative to the lowest polymorph listed for this composition (eV per atom)
1,0.151
2,0.174
3,0.038
4,0.000